No. 1
VASP calculation (PBE-GGA) on a relaxed KMgN2 crystal.

abc: 7.9178 7.9178 7.9178
angles: 27.86 27.86 27.86
With the nearest neighbours (Å) after each atom.
Atoms (fractional coordinates):
K1 0.0000 0.0000 0.0000  6 N 2.85
Mg1 0.5000 0.5000 0.5000  2 N 1.99
N1 0.4127 0.4127 0.4127  1 Mg 1.99
N2 0.5873 0.5873 0.5873  1 Mg 1.99

## Properties
Uncorrected formation energy, eV/atom: 1.28
Space-group type: R-3m, No. 166

***

No. 2
VASP calculation (PBE-GGA) on a relaxed PrTlCd6 crystal.

abc: 4.8994 6.5280 6.5280
angles: 73.66 90.00 90.00
With the nearest neighbours (Å) after each atom.
Atoms (fractional coordinates):
Pr1 0.0000 0.0000 0.0000  10 Cd 3.23-3.38, 2 Tl 3.45
Tl1 0.5000 0.2320 0.2320  10 Cd 3.20-3.43, 2 Pr 3.45
Cd1 0.0000 0.4294 0.4294  8 Cd 3.05-3.31, 2 Tl 3.20
Cd2 0.0000 0.5168 0.9052  7 Cd 3.02-3.31, 2 Pr 3.25-3.38
Cd3 0.0000 0.9052 0.5168  7 Cd 3.02-3.31, 2 Pr 3.25-3.38
Cd4 0.5000 0.3055 0.7149  7 Cd 3.05-3.41, 2 Tl 3.27-3.32, 2 Pr 3.37
Cd5 0.5000 0.7149 0.3055  7 Cd 3.05-3.41, 2 Tl 3.27-3.32, 2 Pr 3.37
Cd6 0.5000 0.7982 0.7982  6 Cd 3.02-3.20, 2 Pr 3.23

## Properties
DFT formation energy, meV/atom: -138
Space-group type: Amm2, No. 38

***

No. 3
VASP calculation (PBE-GGA) on a relaxed Al2FeNi crystal.

abc: 5.2922 5.2922 5.2922
angles: 104.37 104.37 120.23
With the nearest neighbours (Å) after each atom.
Atoms (fractional coordinates):
Al1 0.1100 0.6250 0.9850  2 Ni 2.32, 2 Fe 2.45
Al2 0.3750 0.3600 0.4850  2 Ni 2.32, 2 Fe 2.45
Al3 0.6400 0.1250 0.0150  2 Ni 2.32, 2 Fe 2.45
Al4 0.8750 0.8900 0.5150  2 Ni 2.32, 2 Fe 2.45
Fe1 0.2500 0.7500 0.5000  4 Al 2.45, 2 Ni 2.64
Fe2 0.5000 0.5000 0.0000  4 Al 2.45, 2 Ni 2.64
Ni1 0.0000 0.0000 0.0000  4 Al 2.32
Ni2 0.7500 0.2500 0.5000  4 Al 2.32

## Properties
DFT formation energy, meV/atom: 95
Space-group type: I-42d, No. 122

***

No. 4
VASP calculation (PBE-GGA) on a relaxed HgTeI2 crystal.

abc: 7.4433 7.4433 7.4433
angles: 106.57 106.57 115.45
With the nearest neighbours (Å) after each atom.
Atoms (fractional coordinates):
Hg1 0.0000 0.0000 0.0000  4 I 3.50
Hg2 0.7500 0.2500 0.5000  4 I 3.50
Te1 0.2500 0.7500 0.5000  4 I 3.11
Te2 0.5000 0.5000 0.0000  4 I 3.11
I1 0.1572 0.1250 0.5322  2 Te 3.11
I2 0.3750 0.8428 0.9678  2 Te 3.11
I3 0.5928 0.6250 0.4678  2 Te 3.11
I4 0.8750 0.4072 0.0322  2 Te 3.11

## Properties
Uncorrected formation energy, eV/atom: 0.21
Space-group type: I-42d, No. 122
Energy relative to the lowest polymorph listed for this composition, eV per atom: 0.000

***

No. 5
VASP calculation (PBE-GGA) on a relaxed NaNbCo2Ir crystal.

abc: 4.7232 4.7232 4.8004
angles: 90.00 90.00 90.00
With the nearest neighbours (Å) after each atom.
Atoms (fractional coordinates):
Na1 0.0000 0.0000 0.0000  4 Nb 3.34, 8 Co 3.37
Nb1 0.5000 0.5000 0.0000  2 Ir 2.40
Co1 0.0000 0.5000 0.5000  2 Ir 2.36
Co2 0.5000 0.0000 0.5000  2 Ir 2.36
Ir1 0.5000 0.5000 0.5000  4 Co 2.36, 2 Nb 2.40

## Properties
DFT formation energy, meV/atom: 1043
Space-group type: P4/mmm, No. 123